(1)
ErHgRhPb: optimized geometry, PBE-GGA.

a = 4.9973 Å, b = 4.9973 Å, c = 4.9973 Å
α = 60.00°, β = 60.00°, γ = 60.00°
Fractional positions:
1 Er 0.0000 0.0000 0.0000
2 Hg 0.2500 0.2500 0.2500
3 Rh 0.7500 0.7500 0.7500
4 Pb 0.5000 0.5000 0.5000

**Total magnetization**: 0.000 μB per formula unit
**D(E_F)**: 1.9 states/eV/cell
**Space group**: F-43m, No. 216
**Energy of formation from the pure elements**: -1.2 eV/f.u.



(2)
YScB3: optimized geometry, PBE-GGA.

a = 4.4494 Å, b = 4.4494 Å, c = 4.4494 Å
α = 90.00°, β = 90.00°, γ = 90.00°
Fractional positions:
1 Y 0.0000 0.0000 0.0000
2 Sc 0.5000 0.5000 0.5000
3 B 0.0000 0.0000 0.5000
4 B 0.0000 0.5000 0.0000
5 B 0.5000 0.0000 0.0000

**Total magnetization**: 0.000 μB per formula unit
**D(E_F)**: 5.4 states/eV/cell
**Space group**: Pm-3m, No. 221
**Energy of formation from the pure elements**: 8.0 eV/f.u.



(3)
Li3Ac2CeSe6: optimized geometry, PBE-GGA.

a = 7.6289 Å, b = 7.6289 Å, c = 6.9654 Å
α = 99.70°, β = 99.70°, γ = 120.71°
Fractional positions:
1 Li 0.0000 0.0000 0.0000
2 Li 0.3550 0.6450 0.0000
3 Li 0.6450 0.3550 0.0000
4 Ac 0.1685 0.8315 0.5000
5 Ac 0.8315 0.1685 0.5000
6 Ce 0.5000 0.5000 0.5000
7 Se 0.0977 0.4170 0.2368
8 Se 0.2577 0.2577 0.7604
9 Se 0.4170 0.0977 0.2368
10 Se 0.5830 0.9023 0.7632
11 Se 0.7423 0.7423 0.2396
12 Se 0.9023 0.5830 0.7632

**Total magnetization**: 1.003 μB per formula unit
**D(E_F)**: 4.9 states/eV/cell
**ΔE_f (raw)**: -159 kJ per mole of atoms
**Space group**: C2/m, No. 12



(4)
Hg3PRh: optimized geometry, PBE-GGA.

a = 4.9951 Å, b = 4.9951 Å, c = 4.9951 Å
α = 90.00°, β = 90.00°, γ = 90.00°
Fractional positions:
1 Hg 0.0000 0.0000 0.5000
2 Hg 0.0000 0.5000 0.0000
3 Hg 0.5000 0.0000 0.0000
4 P 0.0000 0.0000 0.0000
5 Rh 0.5000 0.5000 0.5000

**Total magnetization**: 0.000 μB per formula unit
**D(E_F)**: 5.2 states/eV/cell
**Space group**: Pm-3m, No. 221
**Energy of formation from the pure elements**: 4.5 eV/f.u.



(5)
SmDyY: optimized geometry, PBE-GGA.

a = 5.6387 Å, b = 5.6387 Å, c = 3.5332 Å
α = 90.00°, β = 90.00°, γ = 120.00°
Fractional positions:
1 Sm 0.0000 0.0000 0.0000
2 Dy 0.3333 0.6667 0.0000
3 Y 0.6667 0.3333 0.5000

**Total magnetization**: 0.000 μB per formula unit
**D(E_F)**: 5.8 states/eV/cell
**Space group**: P-6m2, No. 187
**Energy of formation from the pure elements**: 0.2 eV/f.u.



(6)
LaBiN2O: optimized geometry, PBE-GGA.

a = 4.3553 Å, b = 4.3553 Å, c = 4.5788 Å
α = 90.00°, β = 90.00°, γ = 90.00°
Fractional positions:
1 La 0.0000 0.0000 0.0000
2 Bi 0.5000 0.5000 0.5000
3 N 0.0000 0.5000 0.0000
4 N 0.5000 0.0000 0.0000
5 O 0.0000 0.0000 0.5000

**Total magnetization**: 0.000 μB per formula unit
**D(E_F)**: 1.8 states/eV/cell
**ΔE_f (raw)**: 28 kJ per mole of atoms
**Space group**: P4/mmm, No. 123



(7)
BeSiSb2: optimized geometry, PBE-GGA.

a = 4.8294 Å, b = 4.8294 Å, c = 4.8294 Å
α = 60.00°, β = 60.00°, γ = 60.00°
Fractional positions:
1 Be 0.0000 0.0000 0.0000
2 Si 0.5000 0.5000 0.5000
3 Sb 0.2500 0.2500 0.2500
4 Sb 0.7500 0.7500 0.7500

**Total magnetization**: 0.000 μB per formula unit
**D(E_F)**: 2.1 states/eV/cell
**ΔE_f (raw)**: 63 kJ per mole of atoms
**Space group**: Fm-3m, No. 225



(8)
KY2As: optimized geometry, PBE-GGA.

a = 6.5125 Å, b = 6.5125 Å, c = 6.5125 Å
α = 139.70°, β = 139.70°, γ = 58.31°
Fractional positions:
1 K 0.0000 0.0000 0.0000
2 Y 0.2500 0.7500 0.5000
3 Y 0.5000 0.5000 0.0000
4 As 0.7500 0.2500 0.5000

**Total magnetization**: 0.000 μB per formula unit
**D(E_F)**: 3.7 states/eV/cell
**Space group**: I-4m2, No. 119
**Energy of formation from the pure elements**: -0.1 eV/f.u.



(9)
Be3SiRu: optimized geometry, PBE-GGA.

a = 4.0036 Å, b = 4.0036 Å, c = 4.0036 Å
α = 90.00°, β = 90.00°, γ = 90.00°
Fractional positions:
1 Be 0.0000 0.0000 0.5000
2 Be 0.0000 0.5000 0.0000
3 Be 0.5000 0.0000 0.0000
4 Si 0.0000 0.0000 0.0000
5 Ru 0.5000 0.5000 0.5000

**Total magnetization**: 0.003 μB per formula unit
**D(E_F)**: 2.2 states/eV/cell
**ΔE_f (raw)**: 99 kJ per mole of atoms
**Space group**: Pm-3m, No. 221



(10)
LiSbSeI2: optimized geometry, PBE-GGA.

a = 6.0668 Å, b = 6.0668 Å, c = 5.5006 Å
α = 90.00°, β = 90.00°, γ = 90.00°
Fractional positions:
1 Li 0.0000 0.0000 0.0000
2 Sb 0.5000 0.5000 0.0000
3 Se 0.5000 0.5000 0.5000
4 I 0.0000 0.5000 0.5000
5 I 0.5000 0.0000 0.5000

**Total magnetization**: 1.747 μB per formula unit
**D(E_F)**: 3.0 states/eV/cell
**ΔE_f (raw)**: 14 kJ per mole of atoms
**Space group**: P4/mmm, No. 123